{
  "formula": "FeTcRu",
  "functional": "PBEsol",
  "state": "relaxed",
  "sg": "No. 216",
  "lattice": [[-2.027, 1.996, 2.767], [-2.276, -1.961, 2.593], [1.084, -0.236, 3.810]],
  "species": ["Fe", "Ru", "Tc"],
  "frac_coords": [[0.000, 0.000, 0.000], [0.500, 0.500, 0.500], [0.250, 0.250, 0.250]]
}

***

{
  "formula": "HgAsSe2",
  "functional": "PBEsol",
  "state": "relaxed",
  "sg": "No. 123",
  "lattice": [[-1.019, 3.326, -1.836], [-1.120, -2.079, -3.145], [-5.154, -0.414, 2.109]],
  "species": ["As", "Hg", "Se", "Se"],
  "frac_coords": [[0.500, 0.500, 0.500], [0.000, 0.000, 0.500], [0.000, 0.000, 0.000], [0.500, 0.500, 0.000]]
}

***

{
  "formula": "SiMoCl2",
  "functional": "PBEsol",
  "state": "relaxed",
  "sg": "No. 47",
  "lattice": [[2.874, 0.000, 0.000], [0.000, 4.346, 0.000], [0.000, 0.000, 5.199]],
  "species": ["Cl", "Cl", "Mo", "Si"],
  "frac_coords": [[0.000, 0.000, 0.000], [0.500, 0.000, 0.500], [0.500, 0.500, 0.000], [0.000, 0.500, 0.500]]
}

***

{
  "formula": "TaTlOs",
  "functional": "PBEsol",
  "state": "relaxed",
  "sg": "No. 216",
  "lattice": [[4.400, 0.000, 0.000], [2.200, 3.811, 0.000], [2.200, 1.270, 3.593]],
  "species": ["Os", "Ta", "Tl"],
  "frac_coords": [[0.000, 0.000, 0.000], [0.500, 0.500, 0.500], [0.750, 0.750, 0.750]]
}

***

{
  "formula": "LiCdAg2",
  "functional": "PBEsol",
  "state": "relaxed",
  "sg": "No. 99",
  "lattice": [[3.364, 0.000, 0.000], [0.000, 3.364, 0.000], [0.000, 0.000, 5.951]],
  "species": ["Cd", "Ag", "Ag", "Li"],
  "frac_coords": [[0.000, 0.000, 0.504], [0.000, 0.000, 0.989], [0.500, 0.500, 0.243], [0.500, 0.500, 0.764]]
}

***

{
  "formula": "SrBe2Cu",
  "functional": "PBEsol",
  "state": "relaxed",
  "sg": "No. 141",
  "lattice": [[4.427, 0.000, 0.000], [0.000, 4.427, 0.000], [-2.213, -2.213, 7.746]],
  "species": ["Sr", "Sr", "Cu", "Cu", "Be", "Be", "Be", "Be"],
  "frac_coords": [[0.000, 0.000, 0.000], [0.250, 0.750, 0.500], [0.500, 0.500, 0.000], [0.750, 0.250, 0.500], [0.625, 0.375, 0.750], [0.125, 0.375, 0.750], [0.625, 0.875, 0.250], [0.625, 0.375, 0.250]]
}

***

{
  "formula": "Sr3MgNi",
  "functional": "PBEsol",
  "state": "relaxed",
  "sg": "No. 221",
  "lattice": [[-4.098, -0.592, 3.890], [3.929, -0.319, 4.091], [-0.208, 5.641, 0.639]],
  "species": ["Sr", "Sr", "Sr", "Mg", "Ni"],
  "frac_coords": [[0.000, 0.500, 0.000], [0.000, 0.000, 0.500], [0.500, 0.000, 0.000], [0.500, 0.500, 0.500], [0.000, 0.000, 0.000]]
}

***

{
  "formula": "LiSb2W",
  "functional": "PBEsol",
  "state": "relaxed",
  "sg": "No. 38",
  "lattice": [[-0.806, -3.255, 0.363], [3.550, -0.590, 2.584], [-2.359, 2.764, 3.873]],
  "species": ["Li", "Sb", "Sb", "W"],
  "frac_coords": [[0.290, 0.000, 0.580], [0.025, 0.000, 0.049], [0.736, 0.500, 0.471], [0.449, 0.500, 0.899]]
}

***

| no. | uncorrected energy (hartree per atom) |
| --- | --- |
| 1 | -0.346 |
| 2 | -0.119 |
| 3 | -0.185 |
| 4 | -0.280 |
| 5 | -0.095 |
| 6 | -0.118 |
| 7 | -0.096 |
| 8 | -0.221 |